Here is an optimized crystal structure of Sc2InRh6 from Alexandria via LeMat-Bulk. Energies are from GGA-PBE.

## Properties
DOS(E_F) ... 1.017 states/eV/atom
Total magnetic moment ... 0.0000 μB/atom
Formation energy from the elements ... -28.18 kJ/mol of atoms

Unit cell a=7.951 b=7.951 c=2.919 alpha=100.52 beta=100.52 gamma=58.03
Element x y z (fractional)
Sc 0.167 0.167 0.165
Sc 0.833 0.833 0.835
In 0.500 0.500 0.500
Rh 0.119 0.546 0.333
Rh 0.200 0.800 0.000
Rh 0.454 0.881 0.667
Rh 0.546 0.119 0.333
Rh 0.800 0.200 0.000
Rh 0.881 0.454 0.667